Below is a relaxed CoRhCl4 crystal, with properties calculated at the GGA-PBE level.

The structure in POSCAR format:
```
CoRhCl4
1.0
0.000 4.048 4.048
4.048 0.000 4.048
4.048 4.048 0.000
Co Rh Cl
1 1 4
Cartesian
6.072 6.072 6.072
0.000 0.000 0.000
3.037 5.059 5.059
5.059 5.059 3.037
5.059 3.037 5.059
3.037 3.037 3.037
```

Its density of states at the Fermi level is 10.39 states/eV/f.u. The value obtained for the total magnetization is 2.616 μB per cell. The space group is F-43m, No. 216. For the raw formation energy, the calculation gives 1.306 eV/atom.